The following is a DFT calculation (PBE) of crystalline CrFe at its relaxed geometry.

Summary:
* Fermi-level density of states: 1.1810 states/eV per atom
* V: 21.2 Å³ per atom
* ΔE_f: 1705 meV per atom

```
CrFe
1.0
6.3330 0.0000 0.0000
0.0000 6.3330 0.0000
0.0000 0.0000 6.3330
Fe Cr
6 6
direct
0.0000 0.5000 0.2500 Fe
0.0000 0.5000 0.7500 Fe
0.5000 0.7500 0.0000 Fe
0.7500 0.0000 0.5000 Fe
0.5000 0.2500 0.0000 Fe
0.2500 0.0000 0.5000 Fe
0.7500 0.5000 0.0000 Cr
0.5000 0.0000 0.7500 Cr
0.2500 0.5000 0.0000 Cr
0.0000 0.7500 0.5000 Cr
0.5000 0.0000 0.2500 Cr
0.0000 0.2500 0.5000 Cr
```


The following is a DFT calculation (PBE) of crystalline CrFe2 at its relaxed geometry.

Summary:
* Fermi-level density of states: 1.3503 states/eV per atom
* V: 11.6 Å³ per atom
* ΔE_f: 305 meV per atom

```
CrFe2
1.0
-1.2437 1.2437 11.2530
1.2437 -1.2437 11.2530
1.2437 1.2437 -11.2530
Cr Fe
2 4
direct
0.7500 0.2500 0.5000 Cr
0.0000 0.0000 0.0000 Cr
0.5793 0.5793 0.0000 Fe
0.4207 0.4207 0.0000 Fe
0.3293 0.8293 0.5000 Fe
0.1707 0.6707 0.5000 Fe
```


The following is a DFT calculation (PBE) of crystalline CrFe at its relaxed geometry.

Summary:
* Fermi-level density of states: 1.3227 states/eV per atom
* V: 11.6 Å³ per atom
* ΔE_f: 632 meV per atom

```
CrFe
1.0
-0.0975 -1.0537 2.2549
4.2725 -0.6698 -0.1282
0.6558 3.8347 1.8202
Cr Fe
2 2
direct
0.5000 0.0000 0.0000 Cr
0.0000 0.5000 0.5000 Cr
0.5000 0.5000 0.0000 Fe
0.0000 0.0000 0.5000 Fe
```


- Among the records above, which one has the highest V?
  number 1